Density functional theory data (PBEsol) for a relaxed Ce3Pd4 crystal.

The formation enthalpy at 0 K is -0.638 eV/atom. As for the size of the total moment: 1.5 μB/f.u. As for the total energy: -6.870 eV per atom.

abc: 5.6761 7.8947 7.8947
angles: 114.45 103.87 103.87
Last column: nearest neighbours and their distance in Å.
Positions (direct):
1 Pd 0.4456 0.6681 0.5052  3 Pd 2.84-2.96, 6 Ce 2.85-3.16
2 Pd 0.9404 0.4948 0.1629  3 Pd 2.84-2.96, 6 Ce 2.85-3.16
3 Pd 0.2225 0.1629 0.6681  3 Pd 2.84-2.96, 6 Ce 2.85-3.16
4 Pd 0.0000 0.0000 0.0000  2 Pd 2.84, 6 Ce 2.91
5 Pd 0.7775 0.8371 0.3319  3 Pd 2.84-2.96, 6 Ce 2.85-3.16
6 Pd 0.0596 0.5052 0.8371  3 Pd 2.84-2.96, 6 Ce 2.85-3.16
7 Pd 0.5000 0.0000 0.0000  2 Pd 2.84, 6 Ce 2.97
8 Pd 0.5544 0.3319 0.4948  3 Pd 2.84-2.96, 6 Ce 2.85-3.16
9 Ce 0.5961 0.6207 0.8812  8 Pd 2.85-3.16
10 Ce 0.9754 0.2605 0.3793  8 Pd 2.85-3.16
11 Ce 0.0246 0.7395 0.6207  8 Pd 2.85-3.16
12 Ce 0.2851 0.8812 0.2605  8 Pd 2.85-3.16
13 Ce 0.7149 0.1188 0.7395  8 Pd 2.85-3.16
14 Ce 0.4039 0.3793 0.1188  8 Pd 2.85-3.16